A PBEsol-optimized structure of CdBi2OsC, computed with meta-GGA SCAN.

Cell lengths 5.523, 5.523, 3.788 Å; angles 90.00, 90.00, 90.00 degrees
Space group P4/mmm (No. 123)
Symmetry-distinct sites (fractional):
Cd (0.000, 0.000, 0.000) x1
Bi (0.000, 0.500, 0.000) x2
Os (0.500, 0.500, 0.500) x1
C (0.000, 0.000, 0.500) x1

Values from the calculation:
total energy = -51.591 eV/atom
crystal system = tetragonal
D(E_F) = 3.3 states/eV/cell
energy of formation from the pure elements = 2320 meV per atom